{
  "formula": "Ca5Eu3F12",
  "functional": "GGA-PBE",
  "state": "relaxed",
  "e_tot_ev_per_atom": -6.463,
  "lattice": [[-8.8594, -6.4081, -6.2895], [9.6991, 2.4183, -7.6935], [4.0092, -6.8729, 9.7877]],
  "species": ["F", "F", "F", "Ca", "Ca", "F", "F", "Ca", "F", "Ca", "F", "F", "Ca", "F", "Ca", "F", "Eu", "F", "F", "Eu", "F", "Eu", "F", "Ca", "Eu", "F", "F", "F", "F", "F", "Ca", "Ca", "Eu", "Ca", "F", "Ca", "F", "F", "Ca", "F", "F", "Eu", "F", "Ca", "F", "Ca", "F", "F", "F", "F", "Eu", "Eu", "F", "F", "Eu", "F", "Ca", "F", "F", "F", "Ca", "F", "F", "F", "Ca", "F", "Eu", "F", "F", "F", "F", "Ca", "F", "Eu", "F", "Ca", "F", "F", "Ca", "Eu"],
  "frac_coords": [[0.4612, 0.6620, 0.1106], [0.8380, 0.8894, 0.0388], [0.6494, 0.0388, 0.2008], [0.0000, 0.5000, 0.0000], [0.5000, 0.0000, 0.5000], [0.8894, 0.0514, 0.8506], [0.5388, 0.3380, 0.8894], [0.6250, 0.8750, 0.2500], [0.6620, 0.2008, 0.5514], [0.7500, 0.6250, 0.3750], [0.0388, 0.3894, 0.8380], [0.0514, 0.8894, 0.3506], [0.8750, 0.6250, 0.7500], [0.3506, 0.3894, 0.0514], [0.1250, 0.3750, 0.2500], [0.7008, 0.1494, 0.0388], [0.8750, 0.7500, 0.1250], [0.0514, 0.1620, 0.2008], [0.3894, 0.3506, 0.5514], [0.1250, 0.2500, 0.8750], [0.6106, 0.9612, 0.6620], [0.1250, 0.8750, 0.7500], [0.2992, 0.4486, 0.8380], [0.5000, 0.5000, 0.5000], [0.8750, 0.1250, 0.2500], [0.1620, 0.0514, 0.7008], [0.6494, 0.6106, 0.9486], [0.1494, 0.4486, 0.1106], [0.8380, 0.9486, 0.2992], [0.1494, 0.7008, 0.5388], [0.0000, 0.0000, 0.0000], [0.5000, 0.0000, 0.0000], [0.6250, 0.2500, 0.3750], [0.1250, 0.7500, 0.3750], [0.1106, 0.1620, 0.4612], [0.3750, 0.2500, 0.1250], [0.8506, 0.2992, 0.4612], [0.1106, 0.9486, 0.1494], [0.2500, 0.3750, 0.6250], [0.3380, 0.7992, 0.4486], [0.9612, 0.3506, 0.2992], [0.3750, 0.6250, 0.2500], [0.2008, 0.6620, 0.0514], [0.5000, 0.5000, 0.0000], [0.8894, 0.8380, 0.5388], [0.2500, 0.8750, 0.1250], [0.7992, 0.3380, 0.9486], [0.3506, 0.9612, 0.7992], [0.2992, 0.8506, 0.9612], [0.9486, 0.8380, 0.7992], [0.3750, 0.7500, 0.6250], [0.7500, 0.8750, 0.6250], [0.5514, 0.8506, 0.3894], [0.7992, 0.4612, 0.3506], [0.7500, 0.3750, 0.1250], [0.1620, 0.1106, 0.9612], [0.8750, 0.2500, 0.6250], [0.8506, 0.5514, 0.8894], [0.0388, 0.6494, 0.7008], [0.5388, 0.2008, 0.1494], [0.7500, 0.1250, 0.8750], [0.7008, 0.5514, 0.1620], [0.3380, 0.5388, 0.3894], [0.9486, 0.1106, 0.6494], [0.3750, 0.1250, 0.7500], [0.4486, 0.1494, 0.6106], [0.6250, 0.3750, 0.7500], [0.5514, 0.7008, 0.6620], [0.6106, 0.6494, 0.4486], [0.3894, 0.0388, 0.3380], [0.6620, 0.4612, 0.6106], [0.6250, 0.7500, 0.8750], [0.4612, 0.7992, 0.8506], [0.2500, 0.1250, 0.3750], [0.9612, 0.6106, 0.1620], [0.0000, 0.0000, 0.5000], [0.2008, 0.5388, 0.6494], [0.4486, 0.2992, 0.3380], [0.0000, 0.5000, 0.5000], [0.2500, 0.6250, 0.8750]]
}


{
  "formula": "Ca2EuF",
  "functional": "GGA-PBE",
  "state": "relaxed",
  "e_tot_ev_per_atom": -5.128,
  "lattice": [[3.7136, 0.0000, 0.0000], [1.8568, 3.2160, 0.0000], [1.8568, 1.0720, 10.1928]],
  "species": ["Ca", "F", "Eu", "Ca"],
  "frac_coords": [[0.1151, 0.1151, 0.6548], [0.5000, 0.5000, 0.5000], [0.0000, 0.0000, 0.0000], [0.8849, 0.8849, 0.3452]]
}


{
  "formula": "Ca3EuF",
  "functional": "GGA-PBE",
  "state": "relaxed",
  "e_tot_ev_per_atom": -4.588,
  "lattice": [[5.4485, 0.0000, 0.0000], [0.0000, 5.4485, 0.0000], [0.0000, 0.0000, 5.4485]],
  "species": ["Eu", "Ca", "Ca", "Ca", "F"],
  "frac_coords": [[0.5000, 0.5000, 0.5000], [0.0000, 0.0000, 0.5000], [0.0000, 0.5000, 0.0000], [0.5000, 0.0000, 0.0000], [0.0000, 0.0000, 0.0000]]
}


{
  "formula": "CaEu2F",
  "functional": "GGA-PBE",
  "state": "relaxed",
  "e_tot_ev_per_atom": -7.345,
  "lattice": [[3.9422, 0.0000, 0.0000], [1.9711, 3.4140, 0.0000], [1.9711, 1.1380, 9.3995]],
  "species": ["Ca", "F", "Eu", "Eu"],
  "frac_coords": [[0.5000, 0.5000, 0.5000], [0.0000, 0.0000, 0.0000], [0.2806, 0.2806, 0.1583], [0.7194, 0.7194, 0.8417]]
}


{
  "formula": "CaEu3Fe",
  "functional": "GGA-PBE",
  "state": "relaxed",
  "delta_e_f_mev_per_atom": 173,
  "lattice": [[-0.0595, 3.3888, 4.4959], [-4.6990, -2.5064, 1.8270], [3.1011, -3.7329, 2.8547]],
  "species": ["Fe", "Ca", "Eu", "Eu", "Eu"],
  "frac_coords": [[0.0000, 0.0000, 0.0000], [0.5000, 0.5000, 0.5000], [0.5000, 0.0000, 0.0000], [0.0000, 0.5000, 0.0000], [0.0000, 0.0000, 0.5000]]
}